The following is a PBE calculation of CaBeCo2 after structural relaxation, from the Alexandria database.

Computed properties:
Fermi-level density of states: 3.38 states/eV/f.u.
Space-group type: I4_1/amd
Energy relative to the elements: 414 meV per atom

```
CaBeCo2
1.0
-2.146 2.146 7.582
2.146 -2.146 7.582
2.146 2.146 -7.582
Ca Be Co
2 2 4
Direct
0.375 0.625 0.750
0.625 0.375 0.250
0.125 0.875 0.250
0.875 0.125 0.750
0.000 0.000 0.000
0.000 0.000 0.500
0.000 0.500 0.000
0.500 0.000 0.500
```